## SbRuF3 (PBE-GGA)

Data for crystalline SbRuF3 at its relaxed geometry.

Computed properties:
ΔE to the lowest computed polymorph (meV/atom): 0.0
SG: No. 221
E_tot (eV/atom): -4.41
Formation energy from raw total energies (eV/atom): -0.612

Cell: 4.2443 4.2443 4.2443 Å, 90.00 90.00 90.00°
With the nearest neighbours (Å) after each atom.
Atoms (fractional coordinates):
F1 0.5000 0.0000 0.0000  2 Ru 2.12
Sb1 0.5000 0.5000 0.5000  12 F 3.00
F2 0.0000 0.0000 0.5000  2 Ru 2.12
F3 0.0000 0.5000 0.0000  2 Ru 2.12
Ru1 0.0000 0.0000 0.0000  6 F 2.12